No. 1
DFT (GGA-PBE) results for LuCoSiTc after structural relaxation.

Cell: 4.4721 4.4721 4.4721 Å, 60.00 60.00 60.00°
Last column: nearest neighbours and their distance in Å.
Sites, in units of the cell vectors:
Lu 0.0000 0.0000 0.0000  4 Tc 2.74, 4 Si 2.74
Co 0.5000 0.5000 0.5000  4 Tc 2.74, 4 Si 2.74
Si 0.2500 0.2500 0.2500  4 Co 2.74, 4 Lu 2.74
Tc 0.7500 0.7500 0.7500  4 Co 2.74, 4 Lu 2.74

## Properties
Space-group type: F-43m (216)
Crystal system: cubic
ΔE to the lowest computed polymorph, meV/atom: 431.9

=====

No. 2
DFT (GGA-PBE) results for LuCoSiTc after structural relaxation.

Cell: 4.3591 4.3591 4.3591 Å, 60.00 60.00 60.00°
Last column: nearest neighbours and their distance in Å.
Sites, in units of the cell vectors:
Lu 0.0000 0.0000 0.0000  4 Tc 2.67, 4 Co 2.67
Co 0.7500 0.7500 0.7500  4 Si 2.67, 4 Lu 2.67
Si 0.5000 0.5000 0.5000  4 Co 2.67, 4 Tc 2.67
Tc 0.2500 0.2500 0.2500  4 Si 2.67, 4 Lu 2.67

## Properties
Space-group type: F-43m (216)
Crystal system: cubic
ΔE to the lowest computed polymorph, meV/atom: 0.0

=====

No. 3
DFT (GGA-PBE) results for LuCoSiW after structural relaxation.

Cell: 4.4219 4.4219 4.4219 Å, 60.00 60.00 60.00°
Last column: nearest neighbours and their distance in Å.
Sites, in units of the cell vectors:
Lu 0.0000 0.0000 0.0000  4 Co 2.71, 4 W 2.71
Co 0.7500 0.7500 0.7500  4 Lu 2.71, 4 Si 2.71
Si 0.5000 0.5000 0.5000  4 Co 2.71, 4 W 2.71
W 0.2500 0.2500 0.2500  4 Si 2.71, 4 Lu 2.71

## Properties
Space-group type: F-43m (216)
Crystal system: cubic
ΔE to the lowest computed polymorph, meV/atom: 0.0

=====

No. 4
DFT (GGA-PBE) results for LuCoSiW after structural relaxation.

Cell: 4.5133 4.5133 4.5133 Å, 60.00 60.00 60.00°
Last column: nearest neighbours and their distance in Å.
Sites, in units of the cell vectors:
Lu 0.0000 0.0000 0.0000  4 Si 2.76, 4 W 2.76
Co 0.5000 0.5000 0.5000  4 Si 2.76, 4 W 2.76
Si 0.2500 0.2500 0.2500  4 Co 2.76, 4 Lu 2.76
W 0.7500 0.7500 0.7500  4 Co 2.76, 4 Lu 2.76

## Properties
Space-group type: F-43m (216)
Crystal system: cubic
ΔE to the lowest computed polymorph, meV/atom: 275.8

=====

No. 5
DFT (GGA-PBE) results for SmLuCo after structural relaxation.

Cell: 4.6493 4.6493 4.6493 Å, 60.00 60.00 60.00°
Last column: nearest neighbours and their distance in Å.
Sites, in units of the cell vectors:
Sm 0.0000 0.0000 0.0000  4 Co 2.85, 4 Lu 2.85
Lu 0.2500 0.2500 0.2500  4 Sm 2.85
Co 0.7500 0.7500 0.7500  4 Sm 2.85

## Properties
Formation energy from the elements, eV per atom: 0.849
Space-group type: F-43m (216)
Crystal system: cubic

=====

No. 6
DFT (GGA-PBE) results for LuCoSn after structural relaxation.

Cell: 4.4608 4.4608 4.4608 Å, 60.00 60.00 60.00°
Last column: nearest neighbours and their distance in Å.
Sites, in units of the cell vectors:
Lu 0.0000 0.0000 0.0000  4 Co 2.73
Co 0.2500 0.2500 0.2500  4 Sn 2.73, 4 Lu 2.73
Sn 0.5000 0.5000 0.5000  4 Co 2.73

## Properties
Space-group type: F-43m (216)
Crystal system: cubic

=====

No. 7
DFT (GGA-PBE) results for LuCoSn after structural relaxation.

Cell: 7.0443 4.5101 7.3559 Å, 90.00 90.00 90.00°
Last column: nearest neighbours and their distance in Å.
Sites, in units of the cell vectors:
Lu 0.0162 0.2500 0.2074  4 Co 2.88-3.02, 5 Sn 3.06-3.15
Lu 0.4838 0.7500 0.7074  4 Co 2.88-3.02, 5 Sn 3.06-3.15
Lu 0.5162 0.2500 0.2926  4 Co 2.88-3.02, 5 Sn 3.06-3.15
Lu 0.9838 0.7500 0.7926  4 Co 2.88-3.02, 5 Sn 3.06-3.15
Co 0.1594 0.7500 0.4393  4 Sn 2.59-2.63, 1 Lu 2.88
Co 0.3406 0.2500 0.9393  4 Sn 2.59-2.63, 1 Lu 2.88
Co 0.6594 0.7500 0.0607  4 Sn 2.59-2.63, 1 Lu 2.88
Co 0.8406 0.2500 0.5607  4 Sn 2.59-2.63, 1 Lu 2.88
Sn 0.2099 0.2500 0.6048  4 Co 2.59-2.63
Sn 0.2901 0.7500 0.1048  4 Co 2.59-2.63
Sn 0.7099 0.2500 0.8952  4 Co 2.59-2.63
Sn 0.7901 0.7500 0.3952  4 Co 2.59-2.63

## Properties
Space-group type: Pnma (62)
Crystal system: orthorhombic

=====

No. 8
DFT (GGA-PBE) results for LuCoSn2 after structural relaxation.

Cell: 4.9086 4.9086 4.9086 Å, 60.00 60.00 60.00°
Last column: nearest neighbours and their distance in Å.
Sites, in units of the cell vectors:
Lu 0.0000 0.0000 0.0000  4 Sn 3.01, 4 Co 3.01
Co 0.7500 0.7500 0.7500  4 Sn 3.01, 4 Lu 3.01
Sn 0.2500 0.2500 0.2500  4 Sn 3.01, 4 Lu 3.01
Sn 0.5000 0.5000 0.5000  4 Co 3.01, 4 Sn 3.01

## Properties
Space-group type: F-43m (216)
Crystal system: cubic

=====

| no. | DFT total energy (eV/atom) | magnetic moment (μB per cell) |
| --- | --- | --- |
| 1 | -6.666 | 3.3 |
| 2 | -7.098 | 0.4 |
| 3 | -7.279 | 0.0 |
| 4 | -7.003 | 3.4 |
| 5 | -4.598 | 0.0 |
| 6 | -5.579 | 0.6 |
| 7 | -5.693 | 0.4 |
| 8 | -4.889 | 0.0 |